[1]
Material: TcPtRh2
Method: DFT, PBE-GGA
State: relaxed

Cell and atoms, written as POSCAR:
```
TcPtRh2
1.0
2.7446 0.0000 0.0000
-1.3723 2.3769 0.0000
0.0000 0.0000 26.9485
Tc Pt Rh
3 3 6
Direct
0.0000 0.0000 0.0000
0.3333 0.6667 0.6667
0.6667 0.3333 0.3333
0.0000 0.0000 0.2491
0.3333 0.6667 0.9158
0.6667 0.3333 0.5825
0.0000 0.0000 0.4960
0.0000 0.0000 0.7450
0.3333 0.6667 0.1626
0.3333 0.6667 0.4117
0.6667 0.3333 0.0784
0.6667 0.3333 0.8293
```

Results
**Magnetization**: 2.1 Bohr magnetons per cell
**Space group**: R3m
**E_tot**: -7.8211 eV per atom
**Crystal system**: trigonal



[2]
Material: TcPtRh2
Method: DFT, PBE-GGA
State: relaxed

Cell and atoms, written as POSCAR:
```
TcPtRh2
1.0
3.8921 0.0000 0.0000
0.0000 3.8921 0.0000
0.0000 0.0000 3.8453
Tc Pt Rh
1 1 2
Direct
0.0000 0.0000 0.0000
0.5000 0.5000 0.0000
0.0000 0.5000 0.5000
0.5000 0.0000 0.5000
```

Results
**Magnetization**: 0.0 Bohr magnetons per cell
**Space group**: P4/mmm
**E_tot**: -7.8161 eV per atom
**Crystal system**: tetragonal



[3]
Material: Tc2PtRh2
Method: DFT, PBE-GGA
State: relaxed

Cell and atoms, written as POSCAR:
```
Tc2PtRh2
1.0
4.3905 0.0000 0.0000
0.0000 12.5296 0.0000
0.0000 0.0000 2.7299
Tc Pt Rh
4 2 4
Direct
0.0000 0.1907 0.0000
0.0000 0.8093 0.0000
0.5000 0.3093 0.0000
0.5000 0.6907 0.0000
0.0000 0.0000 0.5000
0.5000 0.5000 0.5000
0.0000 0.3736 0.5000
0.0000 0.6264 0.5000
0.5000 0.1264 0.5000
0.5000 0.8736 0.5000
```

Results
**Magnetization**: 0.0 Bohr magnetons per cell
**Space group**: Cmmm
**E_tot**: -8.3862 eV per atom
**Crystal system**: orthorhombic



[4]
Material: Tc2Pt2Rh5
Method: DFT, PBE-GGA
State: relaxed

Cell and atoms, written as POSCAR:
```
Tc2Pt2Rh5
1.0
4.7319 0.0000 0.0000
0.7939 4.6779 0.0000
0.8051 1.5016 5.9055
Tc Pt Rh
2 2 5
Direct
0.0581 0.2694 0.3861
0.9419 0.7306 0.6139
0.1700 0.8296 0.1704
0.8300 0.1704 0.8296
0.2730 0.3939 0.9448
0.3869 0.9399 0.7125
0.5000 0.5000 0.5000
0.6131 0.0601 0.2875
0.7270 0.6061 0.0552
```

Results
**Magnetization**: 0.0 Bohr magnetons per cell
**Space group**: P-1
**E_tot**: -7.8284 eV per atom
**Crystal system**: triclinic